No. 1
Entry from OQMD: SrMgAlAu after structural relaxation (PBE).

Its crystal system is cubic. The calculation puts the polymorph energy (0 for the lowest one) at 0 meV/atom.

It has space group F-43m (No. 216), with a = 7.245 Å, b = 7.245 Å, c = 7.245 Å, α = 90.00°, β = 90.00° and γ = 90.00°. The distinct sites, in fractional coordinates, are Sr at (0.000, 0.000, 0.000), Mg at (0.000, 0.000, 0.500), Al at (0.250, 0.250, 0.750) and Au at (0.250, 0.250, 0.250).

No. 2
Entry from OQMD: SrMgAlAu after structural relaxation (PBE).

Its crystal system is cubic. The calculation puts the polymorph energy (0 for the lowest one) at 24 meV/atom.

It has space group F-43m (No. 216), with a = 7.148 Å, b = 7.148 Å, c = 7.148 Å, α = 90.00°, β = 90.00° and γ = 90.00°. The distinct sites, in fractional coordinates, are Sr at (0.000, 0.000, 0.000), Mg at (0.250, 0.250, 0.750), Al at (0.000, 0.000, 0.500) and Au at (0.250, 0.250, 0.250).

No. 3
Entry from OQMD: SrMg4AlAu2 after structural relaxation (PBE).

Its crystal system is orthorhombic.

It has space group Amm2 (No. 38), with a = 5.913 Å, b = 4.582 Å, c = 21.920 Å, α = 90.00°, β = 90.00° and γ = 90.00°. The distinct sites, in fractional coordinates, are Sr at (0.000, 0.000, 0.000), Mg at (0.253, 0.000, 0.259), Mg at (0.254, 0.000, 0.852), Al at (0.000, 0.000, 0.378), Au at (0.000, 0.000, 0.162) and Au at (0.000, 0.000, 0.592).

No. 4
Entry from OQMD: SrMgAlAu after structural relaxation (PBE).

Its crystal system is cubic. The calculation puts the polymorph energy (0 for the lowest one) at 51 meV/atom.

It has space group F-43m (No. 216), with a = 7.038 Å, b = 7.038 Å, c = 7.038 Å, α = 90.00°, β = 90.00° and γ = 90.00°. The distinct sites, in fractional coordinates, are Sr at (0.000, 0.000, 0.000), Mg at (0.250, 0.250, 0.750), Al at (0.250, 0.250, 0.250) and Au at (0.000, 0.000, 0.500).

No. 5
Entry from OQMD: Tm3Mg3Al2Au after structural relaxation (PBE).

Its crystal system is hexagonal.

It has space group P-62m (No. 189), with a = 7.3390 Å, b = 7.3390 Å, c = 4.3755 Å, α = 90.00°, β = 90.00° and γ = 120.00°. The distinct sites, in fractional coordinates, are Tm at (0.0000, 0.5846, 0.0000), Mg at (0.0000, 0.2423, 0.5000), Al at (0.3333, 0.6667, 0.5000) and Au at (0.0000, 0.0000, 0.0000).

No. 6
Entry from OQMD: Y3Mg3AlAu2 after structural relaxation (PBE).

Its crystal system is hexagonal.

It has space group P-62m (No. 189), with a = 7.7612 Å, b = 7.7612 Å, c = 4.0234 Å, α = 90.00°, β = 90.00° and γ = 120.00°. The distinct sites, in fractional coordinates, are Y at (0.0000, 0.5867, 0.0000), Mg at (0.0000, 0.2542, 0.5000), Al at (0.0000, 0.0000, 0.0000) and Au at (0.3333, 0.6667, 0.5000).

No. 7
Entry from OQMD: Al2MoAu after structural relaxation (PBE).

Its crystal system is cubic.

It has space group F-43m (No. 216), with a = 6.376 Å, b = 6.376 Å, c = 6.376 Å, α = 90.00°, β = 90.00° and γ = 90.00°. The distinct sites, in fractional coordinates, are Al at (0.000, 0.000, 0.000), Al at (0.250, 0.250, 0.250), Mo at (0.250, 0.250, 0.750) and Au at (0.000, 0.000, 0.500).

No. 8
Entry from OQMD: Al2Mo2Au after structural relaxation (PBE).

Its crystal system is tetragonal.

It has space group I4/mmm (No. 139), with a = 3.687 Å, b = 3.687 Å, c = 12.699 Å, α = 90.00°, β = 90.00° and γ = 90.00°. The distinct sites, in fractional coordinates, are Al at (0.000, 0.500, 0.250), Mo at (0.000, 0.000, 0.095) and Au at (0.000, 0.000, 0.500).

No. 9
Entry from OQMD: AlMo2Au after structural relaxation (PBE).

Its crystal system is cubic.

It has space group F-43m (No. 216), with a = 6.359 Å, b = 6.359 Å, c = 6.359 Å, α = 90.00°, β = 90.00° and γ = 90.00°. The distinct sites, in fractional coordinates, are Al at (0.000, 0.000, 0.000), Mo at (0.000, 0.000, 0.500), Mo at (0.250, 0.250, 0.750) and Au at (0.250, 0.250, 0.250).

No. 10
Entry from OQMD: AlMo4AuN2 after structural relaxation (PBE).

Its crystal system is hexagonal.

It has space group P-6m2 (No. 187), with a = 2.8581 Å, b = 2.8581 Å, c = 14.9442 Å, α = 90.00°, β = 90.00° and γ = 120.00°. The distinct sites, in fractional coordinates, are Al at (0.0000, 0.0000, 0.0000), Mo at (0.0000, 0.0000, 0.3365), Mo at (0.3333, 0.6667, 0.1498), Au at (0.3333, 0.6667, 0.5000) and N at (0.6667, 0.3333, 0.2433).

No. 11
Entry from OQMD: Nb4AlAuN2 after structural relaxation (PBE).

Its crystal system is hexagonal.

It has space group P-6m2 (No. 187), with a = 3.1825 Å, b = 3.1825 Å, c = 13.5211 Å, α = 90.00°, β = 90.00° and γ = 120.00°. The distinct sites, in fractional coordinates, are Nb at (0.0000, 0.0000, 0.1623), Nb at (0.6667, 0.3333, 0.3327), Al at (0.6667, 0.3333, 0.0000), Au at (0.0000, 0.0000, 0.5000) and N at (0.3333, 0.6667, 0.2499).

No. 12
Entry from OQMD: AlAuNO after structural relaxation (PBE).

Its crystal system is tetragonal. The calculation puts the polymorph energy (0 for the lowest one) at 326 meV/atom.

It has space group P4/nmm (No. 129, origin choice 2), with a = 3.799 Å, b = 3.799 Å, c = 7.401 Å, α = 90.00°, β = 90.00° and γ = 90.00°. The distinct sites, in fractional coordinates, are Al at (0.250, 0.250, 0.083), Au at (0.250, 0.750, 0.500), N at (0.250, 0.250, 0.327) and O at (0.250, 0.750, 0.000).

No. 13
Entry from OQMD: AlAuNO after structural relaxation (PBE).

Its crystal system is tetragonal. The calculation puts the polymorph energy (0 for the lowest one) at 706 meV/atom.

It has space group P4/nmm (No. 129, origin choice 2), with a = 3.925 Å, b = 3.925 Å, c = 6.506 Å, α = 90.00°, β = 90.00° and γ = 90.00°. The distinct sites, in fractional coordinates, are Al at (0.250, 0.750, 0.000), Au at (0.250, 0.250, 0.351), N at (0.250, 0.250, 0.977) and O at (0.250, 0.750, 0.500).

No. 14
Entry from OQMD: AlAuNO after structural relaxation (PBE).

Its crystal system is orthorhombic. The calculation puts the polymorph energy (0 for the lowest one) at 0 meV/atom.

It has space group Pmc2_1 (No. 26), with a = 3.219 Å, b = 6.331 Å, c = 5.186 Å, α = 90.00°, β = 90.00° and γ = 90.00°. The distinct sites, in fractional coordinates, are Al at (0.000, 0.126, 0.000), Au at (0.500, 0.441, 0.575), N at (0.500, 0.259, 0.897) and O at (0.000, 0.116, 0.336).

No. 15
Entry from OQMD: AlAuNO after structural relaxation (PBE).

Its crystal system is orthorhombic. The calculation puts the polymorph energy (0 for the lowest one) at 27 meV/atom.

It has space group Pca2_1 (No. 29), with a = 5.475 Å, b = 7.468 Å, c = 5.204 Å, α = 90.00°, β = 90.00° and γ = 90.00°. The distinct sites, in fractional coordinates, are Al at (0.072, 0.102, 0.000), Au at (0.090, 0.555, 0.899), N at (0.080, 0.683, 0.534) and O at (0.141, 0.051, 0.664).

No. 16
Entry from OQMD: AlAuNO after structural relaxation (PBE).

Its crystal system is orthorhombic. The calculation puts the polymorph energy (0 for the lowest one) at 65 meV/atom.

It has space group Pmc2_1 (No. 26), with a = 3.070 Å, b = 5.960 Å, c = 5.786 Å, α = 90.00°, β = 90.00° and γ = 90.00°. The distinct sites, in fractional coordinates, are Al at (0.000, 0.145, 0.000), Au at (0.500, 0.345, 0.425), N at (0.000, 0.124, 0.329) and O at (0.500, 0.275, 0.922).

No. 17
Entry from OQMD: Ta4AlAuN2 after structural relaxation (PBE).

Its crystal system is hexagonal.

It has space group P-6m2 (No. 187), with a = 3.1459 Å, b = 3.1459 Å, c = 13.5638 Å, α = 90.00°, β = 90.00° and γ = 120.00°. The distinct sites, in fractional coordinates, are Ta at (0.0000, 0.0000, 0.1616), Ta at (0.3333, 0.6667, 0.3342), Al at (0.3333, 0.6667, 0.0000), Au at (0.0000, 0.0000, 0.5000) and N at (0.6667, 0.3333, 0.2499).

No. 18
Entry from OQMD: AlW4AuN2 after structural relaxation (PBE).

Its crystal system is hexagonal.

It has space group P-6m2 (No. 187), with a = 2.8397 Å, b = 2.8397 Å, c = 15.1928 Å, α = 90.00°, β = 90.00° and γ = 120.00°. The distinct sites, in fractional coordinates, are Al at (0.0000, 0.0000, 0.0000), W at (0.0000, 0.0000, 0.3397), W at (0.6667, 0.3333, 0.1489), Au at (0.6667, 0.3333, 0.5000) and N at (0.3333, 0.6667, 0.2443).

No. 19
Entry from OQMD: Zr4AlAuN2 after structural relaxation (PBE).

Its crystal system is hexagonal.

It has space group P-6m2 (No. 187), with a = 3.2832 Å, b = 3.2832 Å, c = 14.2083 Å, α = 90.00°, β = 90.00° and γ = 120.00°. The distinct sites, in fractional coordinates, are Zr at (0.0000, 0.0000, 0.1609), Zr at (0.3333, 0.6667, 0.3392), Al at (0.3333, 0.6667, 0.0000), Au at (0.0000, 0.0000, 0.5000) and N at (0.6667, 0.3333, 0.2510).

No. 20
Entry from OQMD: Na3Al4Au4 after structural relaxation (PBE).

Its crystal system is orthorhombic.

It has space group Immm (No. 71), with a = 4.315 Å, b = 7.389 Å, c = 13.840 Å, α = 90.00°, β = 90.00° and γ = 90.00°. The distinct sites, in fractional coordinates, are Na at (0.000, 0.000, 0.000), Na at (0.000, 0.500, 0.112), Al at (0.000, 0.306, 0.319), Au at (0.000, 0.000, 0.221) and Au at (0.000, 0.212, 0.500).

Raw total energy for the records above, in order: -45.2; -44.8; -33.3; -44.4; -32.8; -39.2; -83.5; -61.0; -112.5; -67.7; -68.8; -44.3; -41.3; -46.9; -93.5; -46.4; -75.5; -74.7; -66.4; -72.5 eV for the cell shown